(1)
Ba2YSb after structural relaxation, computed with PBE-GGA.

Lattice parameters (Å, degrees): 6.707 6.707 6.707 134.60 134.60 66.16
Fractional positions:
Ba  0.000  0.000  0.000
Ba  0.750  0.250  0.500
Y  0.500  0.500  0.000
Sb  0.250  0.750  0.500

total DFT energy (no corrections)	-3.861	eV/atom
space-group type	I-4m2

---

(2)
La2TlHg3 after structural relaxation, computed with PBE-GGA.

Lattice parameters (Å, degrees): 10.246 9.595 6.287 77.26 65.98 36.76
Fractional positions:
La  0.245  0.755  0.755
La  0.250  0.250  0.250
La  0.750  0.750  0.750
La  0.755  0.245  0.245
Tl  0.334  0.334  0.666
Tl  0.666  0.666  0.334
Hg  0.165  0.165  0.835
Hg  0.166  0.669  0.331
Hg  0.331  0.834  0.166
Hg  0.669  0.166  0.834
Hg  0.834  0.331  0.669
Hg  0.835  0.835  0.165

space-group type	Fmmm
DFT formation energy	-0.441	eV/atom

---

(3)
LiFeCo after structural relaxation, computed with PBE-GGA.

Lattice parameters (Å, degrees): 3.954 3.954 4.549 90.00 90.00 120.00
Fractional positions:
Li  0.333  0.667  0.250
Li  0.667  0.333  0.750
Fe  0.000  0.000  0.000
Fe  0.000  0.000  0.500
Co  0.333  0.667  0.750
Co  0.667  0.333  0.250

space-group type	P6_3/mmc
DFT formation energy	0.492	eV/atom

---

(4)
Ca3Ag3Hg8 after structural relaxation, computed with PBE-GGA.

Lattice parameters (Å, degrees): 8.917 8.917 8.917 148.30 109.37 79.49
Fractional positions:
Ca  0.000  0.000  0.000
Ca  0.291  0.291  0.000
Ca  0.709  0.709  0.000
Ag  0.352  0.500  0.852
Ag  0.500  0.000  0.500
Ag  0.648  0.500  0.148
Hg  0.004  0.643  0.361
Hg  0.156  0.862  0.294
Hg  0.282  0.643  0.639
Hg  0.432  0.138  0.294
Hg  0.568  0.862  0.706
Hg  0.718  0.357  0.361
Hg  0.844  0.138  0.706
Hg  0.996  0.357  0.639

space-group type	Immm
DFT formation energy	-0.269	eV/atom

---

(5)
NdCuHg2 after structural relaxation, computed with PBE-GGA.

Lattice parameters (Å, degrees): 3.460 3.460 7.428 90.00 90.00 90.00
Fractional positions:
Nd  0.000  0.000  0.000
Cu  0.000  0.000  0.500
Hg  0.500  0.500  0.295
Hg  0.500  0.500  0.705

space-group type	P4/mmm
DFT formation energy	-0.143	eV/atom

---

(6)
Nd2USe6 after structural relaxation, computed with PBE-GGA.

Lattice parameters (Å, degrees): 6.767 6.767 12.851 90.00 90.00 90.00
Fractional positions:
Nd  0.000  0.000  0.166
Nd  0.000  0.000  0.834
Nd  0.500  0.500  0.334
Nd  0.500  0.500  0.666
U  0.000  0.000  0.500
U  0.500  0.500  0.000
Se  0.191  0.191  0.346
Se  0.191  0.191  0.654
Se  0.214  0.214  0.000
Se  0.286  0.714  0.500
Se  0.309  0.691  0.154
Se  0.309  0.691  0.846
Se  0.691  0.309  0.154
Se  0.691  0.309  0.846
Se  0.714  0.286  0.500
Se  0.786  0.786  0.000
Se  0.809  0.809  0.346
Se  0.809  0.809  0.654

total DFT energy (no corrections)	-5.975	eV/atom
space-group type	P4_2/mnm

---

Asked for magnetic moment across the records above, the calculation gives 0.0 0.0 0.0 0.0 0.2 0.1 μB/f.u. in order.